# 1
Tm2UFe2 | Alexandria via LeMat-Bulk | PBE | optimized geometry; uncorrected energy = -76.1 eV/cell; formation enthalpy at 0 K = -0.896 eV per formula unit
1.0
5.181 -2.962 0.000
5.181 2.962 0.000
-1.911 0.000 6.682
Tm U Fe
4 2 4
Cartesian
1.348 0.595 0.927 Tm
0.393 -0.595 4.268 Tm
8.058 0.595 2.414 Tm
7.103 -0.595 5.755 Tm
4.703 0.169 1.671 U
3.748 -0.169 5.012 U
2.701 0.831 3.392 Fe
3.656 -0.831 0.051 Fe
4.794 0.831 6.631 Fe
5.750 -0.831 3.290 Fe

***

# 2
SrMo2Au | Alexandria via LeMat-Bulk | PBE | optimized geometry; uncorrected energy = -24.2 eV/cell; distance to the lowest polymorph of the same formula = 321 meV per atom; formation enthalpy at 0 K = 2.389 eV per formula unit
1.0
4.632 -1.398 0.000
4.632 1.398 0.000
-0.388 0.000 6.523
Sr Mo Au
1 2 1
Cartesian
0.000 0.000 0.000 Sr
1.943 0.000 4.398 Mo
4.238 0.000 3.433 Mo
6.819 0.000 1.889 Au

***

# 3
LiCaTa | Alexandria via LeMat-Bulk | PBE | optimized geometry; uncorrected energy = -13.9 eV/cell; distance to the lowest polymorph of the same formula = 385 meV per atom; formation enthalpy at 0 K = 1.887 eV per formula unit
1.0
3.074 0.000 0.000
-1.537 2.662 0.000
0.000 0.000 8.307
Li Ca Ta
1 1 1
Cartesian
0.000 0.000 0.000 Li
0.000 1.775 5.221 Ca
1.537 0.887 2.513 Ta

***

# 4
KRbSe2 | Alexandria via LeMat-Bulk | PBE | optimized geometry; formation energy without anion corrections = -871 meV per atom; uncorrected energy = -12.5 eV/cell; distance to the lowest polymorph of the same formula = 0 meV per atom
1.0
4.797 -3.068 0.000
4.797 3.068 0.000
-4.374 0.000 4.830
K Rb Se
1 1 2
Cartesian
0.000 0.000 0.000 K
2.610 0.000 2.415 Rb
-0.480 0.000 4.001 Se
5.699 0.000 0.829 Se